Material: BeRhAu2
Method: DFT, PBEsol
State: relaxed

The structure in POSCAR format:
```
BeRhAu2
1.0
2.8901 0.0000 0.0000
0.0000 4.4281 0.0000
-1.4450 -2.2140 4.3344
Rh Au Be
1 2 1
Direct
0.2069 0.7069 0.4139
0.7888 0.2888 0.5776
0.9981 0.9981 0.9962
0.5062 0.5062 0.0123
```

**Energy**: -20.4 eV for the cell shown
**D(E_F)**: 2.1 states/eV/cell
**Calculated volume**: 55.5 Å³/cell